Below is KTe2 after structural relaxation, with properties calculated at the PBE level.

Cell lengths 3.9183, 5.4499, 11.5039 Å; angles 90.00, 90.00, 90.00 degrees
Last column: nearest neighbours and their distance in Å.
Space group Immm (No. 71)
Unique sites:
K 0.0000 0.0000 0.0000 x2  8 Te 3.62, 2 K 3.92
Te 0.0000 0.0000 0.3823 x4  1 Te 2.71

***

Below is KTe2 after structural relaxation, with properties calculated at the PBE level.

Cell lengths 12.3430, 4.4945, 10.3489 Å; angles 90.00, 118.39, 90.00 degrees
Last column: nearest neighbours and their distance in Å.
Space group Cm (No. 8)
Unique sites:
K 0.0000 0.0000 0.0000 x2  6 Te 3.36-3.76
K 0.2185 0.0000 0.5790 x2  5 Te 3.47-3.87
Te 0.1514 0.5000 0.8102 x2  2 Te 3.09
Te 0.1667 0.5000 0.2995 x2  1 Te 2.77
Te 0.2851 0.0000 0.0348 x2  4 Te 3.09-3.12, 1 K 3.36
Te 0.3793 0.5000 0.2719 x2  1 Te 2.77

***

no.,E_form (uncorrected) (eV/f.u.),N(E_F) (states/eV per atom),VASP energy (eV/atom)
1,-1.396,0.5190,-2.926
2,-1.571,0.0668,-2.984